! PBE-GGA ThGa2Au, relaxed; values from VASP
&SYSTEM
  ibrav = 0, nat = 4, ntyp = 3
/
ATOMIC_SPECIES
Th 232.04 Th.upf
Ga 69.72 Ga.upf
Au 196.97 Au.upf
ATOMIC_POSITIONS crystal
Th 0.000 0.000 0.000
Ga 0.263 0.263 0.263
Ga 0.737 0.737 0.737
Au 0.500 0.500 0.500
CELL_PARAMETERS angstrom
2.555 1.475 3.795
-2.555 1.475 3.795
0.000 -2.950 3.795
! E	-4.547	eV/atom

***

! PBE-GGA ThGa3Au, relaxed; values from VASP
&SYSTEM
  ibrav = 0, nat = 5, ntyp = 3
/
ATOMIC_SPECIES
Th 232.04 Th.upf
Ga 69.72 Ga.upf
Au 196.97 Au.upf
ATOMIC_POSITIONS crystal
Th 0.000 0.000 0.000
Ga 0.261 0.761 0.500
Ga 0.395 0.395 0.000
Ga 0.761 0.261 0.500
Au 0.632 0.632 0.000
CELL_PARAMETERS angstrom
-2.205 2.205 5.246
2.205 -2.205 5.246
2.205 2.205 -5.246
! excess energy over the best structure of this formula in the dataset	0	meV/atom

***

! PBE-GGA Th2GaAu6, relaxed; values from VASP
&SYSTEM
  ibrav = 0, nat = 9, ntyp = 3
/
ATOMIC_SPECIES
Th 232.04 Th.upf
Ga 69.72 Ga.upf
Au 196.97 Au.upf
ATOMIC_POSITIONS crystal
Th 0.166 0.166 0.182
Th 0.834 0.834 0.818
Ga 0.500 0.500 0.000
Au 0.135 0.682 0.308
Au 0.315 0.315 0.694
Au 0.318 0.865 0.692
Au 0.682 0.135 0.308
Au 0.685 0.685 0.306
Au 0.865 0.318 0.692
CELL_PARAMETERS angstrom
5.625 -3.219 0.000
5.625 3.219 0.000
-0.041 0.000 5.391
! E	-4.718	eV/atom

***

! PBE-GGA Th2GaAu3, relaxed; values from VASP
&SYSTEM
  ibrav = 0, nat = 6, ntyp = 3
/
ATOMIC_SPECIES
Th 232.04 Th.upf
Ga 69.72 Ga.upf
Au 196.97 Au.upf
ATOMIC_POSITIONS crystal
Th 0.000 0.000 0.000
Th 0.737 0.237 0.500
Ga 0.581 0.581 0.000
Au 0.155 0.655 0.500
Au 0.315 0.815 0.500
Au 0.428 0.428 0.000
CELL_PARAMETERS angstrom
-1.927 2.190 8.567
1.927 -2.190 8.567
1.927 2.190 -8.567
! excess energy over the best structure of this formula in the dataset	124	meV/atom

***

DOS at the Fermi energy list, top to bottom, in states/eV/f.u.: 1.6 2.2 5.0 4.7